1.
NdGaH2Ru | Alexandria via LeMat-Bulk | PBE | optimized geometry; calculated total energy = -53.043 eV per cell; DOS(E_F) = 2.5 states/eV per cell; symmetry = Cmcm (63); ρ = 8.04 g/cm3; spin magnetization = 0.00 μB/atom
1.0
1.975 -5.421 0.000
1.975 5.421 0.000
0.000 0.000 6.118
Nd Ga H Ru
2 2 4 2
Cartesian
1.975 3.224 4.589 Nd
1.975 -3.224 1.530 Nd
1.975 4.621 1.530 Ga
1.975 -4.621 4.589 Ga
1.975 1.720 0.320 H
1.975 1.720 2.739 H
1.975 -1.720 3.379 H
1.975 -1.720 5.798 H
1.975 0.000 0.000 Ru
1.975 0.000 3.059 Ru



2.
BeAs3Pt | Alexandria via LeMat-Bulk | PBE | optimized geometry; E_form = 100.28 kJ/mol of atoms; polymorph energy (0 for the lowest one) = 507.4 meV per atom; calculated total energy = -18.519 eV per cell; DOS(E_F) = 5.1 states/eV per cell; symmetry = Pm-3m (221); ρ = 5.98 g/cm3; spin magnetization = 0.00 μB/atom
1.0
4.919 0.000 0.000
0.000 4.919 0.000
0.000 0.000 4.919
Be As Pt
1 3 1
Cartesian
0.000 0.000 0.000 Be
0.000 2.459 2.459 As
2.459 0.000 2.459 As
2.459 2.459 0.000 As
2.459 2.459 2.459 Pt



3.
Nd3Sm6Ho2Pu | Alexandria via LeMat-Bulk | PBE | optimized geometry; E_form = 4.83 kJ/mol of atoms; calculated total energy = -65.506 eV per cell; DOS(E_F) = 24.4 states/eV per cell; symmetry = C2/m (12); ρ = 7.98 g/cm3; spin magnetization = 0.57 μB/atom
1.0
3.126 -5.418 0.000
3.126 5.418 0.000
-2.100 0.000 11.732
Nd Sm Ho Pu
3 6 2 1
Cartesian
0.000 0.000 0.000 Nd
3.126 1.806 0.000 Nd
3.126 -1.806 0.000 Nd
1.052 1.785 3.004 Sm
0.011 0.000 8.728 Sm
1.052 -1.785 3.004 Sm
3.099 1.785 8.728 Sm
4.141 0.000 3.004 Sm
3.099 -1.785 8.728 Sm
2.076 3.614 5.866 Ho
2.076 -3.614 5.866 Ho
2.076 0.000 5.866 Pu



4.
ScFe2Ag | Alexandria via LeMat-Bulk | PBE | optimized geometry; E_form = 26.37 kJ/mol of atoms; calculated total energy = -25.015 eV per cell; DOS(E_F) = 4.0 states/eV per cell; symmetry = P4/mmm (123); ρ = 6.91 g/cm3; spin magnetization = 1.21 μB/atom
1.0
2.834 0.000 0.000
0.000 2.834 0.000
0.000 0.000 7.913
Sc Fe Ag
1 2 1
Cartesian
0.000 0.000 0.000 Sc
1.417 1.417 2.012 Fe
1.417 1.417 5.901 Fe
0.000 0.000 3.957 Ag



5.
TaAgNO2 | Alexandria via LeMat-Bulk | PBE | optimized geometry; calculated total energy = -38.113 eV per cell; DOS(E_F) = 4.6 states/eV per cell; formation energy without anion corrections = -5.17 eV per formula unit; symmetry = P4/mmm (123); ρ = 8.48 g/cm3; spin magnetization = 0.00 μB/atom
1.0
3.969 0.000 0.000
0.000 3.969 0.000
0.000 0.000 4.163
Ta Ag N O
1 1 1 2
Cartesian
0.000 0.000 0.000 Ta
1.985 1.985 2.082 Ag
0.000 0.000 2.082 N
0.000 1.985 0.000 O
1.985 0.000 0.000 O



6.
TaSnHgF2 | Alexandria via LeMat-Bulk | PBE | optimized geometry; polymorph energy (0 for the lowest one) = 181.5 meV per atom; calculated total energy = -24.721 eV per cell; DOS(E_F) = 3.1 states/eV per cell; formation energy without anion corrections = -4.82 eV per formula unit; symmetry = P4/mmm (123); ρ = 8.79 g/cm3; spin magnetization = 0.25 μB/atom
1.0
4.137 0.000 0.000
0.000 4.137 0.000
0.000 0.000 5.941
Ta Sn Hg F
1 1 1 2
Cartesian
0.000 0.000 0.000 Ta
2.069 2.069 2.970 Sn
0.000 0.000 2.970 Hg
0.000 2.069 0.000 F
2.069 0.000 0.000 F



7.
Nb2BIr2 | Alexandria via LeMat-Bulk | PBE | optimized geometry; E_form = 58.08 kJ/mol of atoms; polymorph energy (0 for the lowest one) = 380.7 meV per atom; calculated total energy = -41.529 eV per cell; DOS(E_F) = 5.8 states/eV per cell; symmetry = I4/mmm (139); ρ = 11.51 g/cm3; spin magnetization = 0.00 μB/atom
1.0
-1.726 1.726 7.035
1.726 -1.726 7.035
1.726 1.726 -7.035
Nb B Ir
2 1 2
Cartesian
0.000 0.000 1.304 Nb
0.000 0.000 12.767 Nb
0.000 0.000 7.035 B
1.726 0.000 3.518 Ir
0.000 1.726 3.518 Ir



8.
CaB3Br | Alexandria via LeMat-Bulk | PBE | optimized geometry; polymorph energy (0 for the lowest one) = 531.3 meV per atom; calculated total energy = -11.076 eV per cell; DOS(E_F) = 3.5 states/eV per cell; formation energy without anion corrections = 12.63 eV per formula unit; symmetry = Pm-3m (221); ρ = 1.80 g/cm3; spin magnetization = 0.58 μB/atom
1.0
5.198 0.000 0.000
0.000 5.198 0.000
0.000 0.000 5.198
Ca B Br
1 3 1
Cartesian
0.000 0.000 0.000 Ca
0.000 0.000 2.599 B
0.000 2.599 0.000 B
2.599 0.000 0.000 B
2.599 2.599 2.599 Br



9.
BaAsRhO6 | Alexandria via LeMat-Bulk | PBE | optimized geometry; calculated total energy = -56.673 eV per cell; DOS(E_F) = 1.7 states/eV per cell; formation energy without anion corrections = -13.00 eV per formula unit; symmetry = P312 (149); ρ = 5.09 g/cm3; spin magnetization = 0.23 μB/atom
1.0
5.154 0.000 0.000
-2.577 4.463 0.000
0.000 0.000 5.836
Ba As Rh O
1 1 1 6
Cartesian
0.000 0.000 0.000 Ba
0.000 2.976 2.918 As
2.577 1.488 2.918 Rh
-0.940 1.768 4.005 O
-1.516 2.765 1.832 O
0.940 1.768 1.832 O
-0.576 4.394 4.005 O
1.516 2.765 4.005 O
0.576 4.394 1.832 O



10.
Hf2BeN | Alexandria via LeMat-Bulk | PBE | optimized geometry; polymorph energy (0 for the lowest one) = 1215.6 meV per atom; calculated total energy = -30.850 eV per cell; DOS(E_F) = 5.3 states/eV per cell; formation energy without anion corrections = 1.11 eV per formula unit; symmetry = Fm-3m (225); ρ = 11.47 g/cm3; spin magnetization = 0.00 μB/atom
1.0
0.000 3.018 3.018
3.018 0.000 3.018
3.018 3.018 0.000
Hf Be N
2 1 1
Cartesian
1.509 1.509 1.509 Hf
4.527 4.527 4.527 Hf
0.000 0.000 0.000 Be
3.018 3.018 3.018 N



11.
Ba4InBi | Alexandria via LeMat-Bulk | PBE | optimized geometry; E_form = -49.02 kJ/mol of atoms; calculated total energy = -34.717 eV per cell; DOS(E_F) = 6.9 states/eV per cell; symmetry = C2/c (15); ρ = 4.87 g/cm3; spin magnetization = 0.10 μB/atom
1.0
5.577 -7.945 0.000
5.577 7.945 0.000
-4.241 0.000 6.716
Ba In Bi
8 2 2
Cartesian
0.350 5.106 6.106 Ba
0.292 0.931 4.890 Ba
4.443 5.106 3.969 Ba
2.413 -0.931 1.532 Ba
4.501 0.931 5.184 Ba
2.470 -5.106 2.747 Ba
6.621 -0.931 1.826 Ba
6.563 -5.106 0.611 Ba
4.517 7.927 1.679 In
2.397 -7.927 5.037 In
4.517 2.158 1.679 Bi
2.397 -2.158 5.037 Bi



12.
LaCdSbN | Alexandria via LeMat-Bulk | PBE | optimized geometry; calculated total energy = -20.119 eV per cell; DOS(E_F) = 1.3 states/eV per cell; formation energy without anion corrections = -1.83 eV per formula unit; symmetry = I4mm (107); ρ = 6.75 g/cm3; spin magnetization = 0.00 μB/atom
1.0
-1.742 1.742 7.843
1.742 -1.742 7.843
1.742 1.742 -7.843
La Cd Sb N
1 1 1 1
Cartesian
0.000 0.000 0.000 La
0.000 0.000 5.118 Cd
0.000 0.000 10.595 Sb
0.000 0.000 8.432 N



Q: Number 6 is which compound?
A: TaSnHgF2



Q: Which formula does entry 1 have?
A: NdGaH2Ru